[1]
Ba5SrZn4 | PBE-GGA | relaxed

Summary:
Uncorrected energy, eV/atom: -1.77

a b c (Å): 4.140 4.140 22.880
angles (deg): 90.00 90.00 90.00
Atoms (fractional coordinates):
Ba 0.500 0.500 0.679
Ba 0.500 0.500 0.855
Ba 0.500 0.500 0.145
Ba 0.500 0.500 0.321
Ba 0.500 0.500 0.500
Zn 0.000 0.000 0.229
Zn 0.000 0.000 0.411
Zn 0.000 0.000 0.771
Zn 0.000 0.000 0.589
Sr 0.000 0.000 0.000


[2]
Ba4SrZn | PBE-GGA | relaxed

Summary:
Excess energy over the best structure of this formula in the dataset, meV/atom: 425

a b c (Å): 7.894 7.894 7.894
angles (deg): 60.00 60.00 60.00
Atoms (fractional coordinates):
Zn 0.000 0.000 0.000
Ba 0.375 0.375 0.375
Ba 0.876 0.375 0.375
Ba 0.375 0.375 0.876
Ba 0.375 0.876 0.375
Sr 0.750 0.750 0.750


| no. | spin magnetization (μB/cell) |
| --- | --- |
| 1 | 0.00 |
| 2 | 0.00 |